Below is a geometry-optimized Ce2ErHg structure, with properties calculated at the PBE level.

Results
DFT formation energy (meV/atom): -54.8
Total magnetic moment (μB/cell): 1.970
Space-group type: P4/mmm
Distance to the lowest polymorph of the same formula (eV/atom): 0.0631

Unit cell a=3.395 b=3.395 c=9.932 alpha=90.00 beta=90.00 gamma=90.00
Last column: magnetic moment on the atom in μB.
Fractional positions:
Er: 0.500 0.500 0.500  0.11
Ce: 0.000 0.000 0.767  0.75
Ce: 0.000 0.000 0.233  0.75
Hg: 0.500 0.500 0.000  0.01